(1)
# NaScCr2

An optimized crystal structure of NaScCr2 (GGA-PBEsol, Alexandria).

Cell: 4.759 4.759 4.759 Å, 60.00 60.00 60.00°
Sites, in units of the cell vectors:
Na: 0.000 0.000 0.000
Sc: 0.500 0.500 0.500
Cr: 0.250 0.250 0.250
Cr: 0.750 0.750 0.750

Summary:
symmetry = Fm-3m (225)
magnetic moment = 7.68 μB/f.u.
DOS at the Fermi energy = 2.9 states/eV/cell
final energy = -6.09 eV per atom

(2)
# TiMnN2

An optimized crystal structure of TiMnN2 (GGA-PBEsol, Alexandria).

Cell: 5.873 4.069 6.765 Å, 90.00 90.00 90.00°
Sites, in units of the cell vectors:
Ti: 0.107 0.250 0.121
Ti: 0.393 0.750 0.621
Ti: 0.607 0.250 0.379
Ti: 0.893 0.750 0.879
Mn: 0.066 0.250 0.642
Mn: 0.434 0.750 0.142
Mn: 0.566 0.250 0.858
Mn: 0.934 0.750 0.358
N: 0.056 0.750 0.625
N: 0.103 0.750 0.113
N: 0.397 0.250 0.613
N: 0.444 0.250 0.125
N: 0.556 0.750 0.875
N: 0.603 0.750 0.387
N: 0.897 0.250 0.887
N: 0.944 0.250 0.375

Summary:
symmetry = Pnma (62)
magnetic moment = 2.07 μB/f.u.
DOS at the Fermi energy = 10.3 states/eV/cell
final energy = -9.84 eV per atom
formation energy from raw total energies = -4.24 eV/f.u.

(3)
# AlCrIn2I

An optimized crystal structure of AlCrIn2I (GGA-PBEsol, Alexandria).

Cell: 5.270 5.270 5.564 Å, 90.00 90.00 90.00°
Sites, in units of the cell vectors:
Al: 0.000 0.000 0.000
Cr: 0.500 0.500 0.500
In: 0.000 0.500 0.000
In: 0.500 0.000 0.000
I: 0.000 0.000 0.500

Summary:
symmetry = P4/mmm (123)
magnetic moment = 5.31 μB/f.u.
DOS at the Fermi energy = 2.3 states/eV/cell
final energy = -3.62 eV per atom
formation energy from raw total energies = 3.94 eV/f.u.

- magnetic moment of number 2 (TiMnN2)?
  2.07 μB/f.u.

- What is the magnetic moment in the first record?
  7.68 μB/f.u.